This record from Alexandria describes a relaxed ThMnNb2C4 crystal. The functional is PBE-GGA.

Cell: 3.295 5.864 10.859 Å, 90.00 90.00 106.32°
Fractional positions:
Th  0.097  0.194  0.750
Th  0.903  0.806  0.250
Mn  0.834  0.667  0.750
Mn  0.166  0.333  0.250
Nb  0.371  0.742  0.543
Nb  0.629  0.258  0.043
Nb  0.629  0.258  0.457
Nb  0.371  0.742  0.957
C  0.265  0.530  0.118
C  0.735  0.470  0.618
C  0.735  0.470  0.882
C  0.265  0.530  0.382
C  0.000  0.000  0.500
C  0.000  0.000  0.000
C  0.420  0.839  0.750
C  0.580  0.161  0.250

Computed properties:
ΔH_f (0 K): -0.335 eV/atom
Mass density: 8590 kg/m³
M_tot: 0.00 μB per atom
D(E_F): 0.5716 states/eV per atom

---

This record from Alexandria describes a relaxed ThMnNbC3 crystal. The functional is PBE-GGA.

Cell: 3.337 7.119 7.442 Å, 104.69 90.00 90.00°
Fractional positions:
Th  0.750  0.811  0.795
Th  0.250  0.189  0.205
Mn  0.250  0.096  0.605
Mn  0.750  0.904  0.395
Nb  0.250  0.649  0.144
Nb  0.750  0.351  0.856
C  0.250  0.828  0.472
C  0.750  0.879  0.143
C  0.750  0.439  0.155
C  0.750  0.172  0.528
C  0.250  0.561  0.845
C  0.250  0.121  0.857

Computed properties:
ΔH_f (0 K): -0.124 eV/atom
Mass density: 8076 kg/m³
M_tot: 0.00 μB per atom
D(E_F): 0.5471 states/eV per atom

---

This record from Alexandria describes a relaxed TmMnNbC3 crystal. The functional is PBE-GGA.

Cell: 3.293 6.798 7.211 Å, 99.61 90.00 90.00°
Fractional positions:
Tm  0.750  0.832  0.811
Tm  0.250  0.168  0.189
Mn  0.250  0.102  0.600
Mn  0.750  0.898  0.400
Nb  0.250  0.640  0.146
Nb  0.750  0.360  0.854
C  0.250  0.826  0.483
C  0.750  0.881  0.146
C  0.750  0.424  0.153
C  0.750  0.174  0.517
C  0.250  0.576  0.847
C  0.250  0.119  0.854

Computed properties:
ΔH_f (0 K): -0.113 eV/atom
Mass density: 7363 kg/m³
M_tot: 0.00 μB per atom
D(E_F): 0.3422 states/eV per atom

---

This record from Alexandria describes a relaxed UMnNbC3 crystal. The functional is PBE-GGA.

Cell: 3.168 6.894 7.191 Å, 101.51 90.00 90.00°
Fractional positions:
U  0.750  0.823  0.801
U  0.250  0.177  0.199
Mn  0.250  0.104  0.599
Mn  0.750  0.896  0.401
Nb  0.250  0.648  0.149
Nb  0.750  0.352  0.851
C  0.250  0.817  0.508
C  0.750  0.883  0.136
C  0.750  0.419  0.163
C  0.750  0.183  0.492
C  0.250  0.581  0.837
C  0.250  0.117  0.864

Computed properties:
ΔH_f (0 K): -0.105 eV/atom
Mass density: 9105 kg/m³
M_tot: 0.00 μB per atom
D(E_F): 0.8836 states/eV per atom

---

This record from Alexandria describes a relaxed YMn2NbC crystal. The functional is PBE-GGA.

Cell: 4.043 4.473 4.043 Å, 90.00 90.00 90.00°
Fractional positions:
Y  0.500  0.500  0.500
Nb  0.000  0.500  0.000
Mn  0.000  0.000  0.500
Mn  0.500  0.000  0.000
C  0.000  0.000  0.000

Computed properties:
ΔH_f (0 K): 0.141 eV/atom
Mass density: 6899 kg/m³
M_tot: 0.73 μB per atom
D(E_F): 0.8881 states/eV per atom

---

This record from Alexandria describes a relaxed MnNb2ZnC crystal. The functional is PBE-GGA.

Cell: 4.345 4.345 3.770 Å, 90.00 90.00 90.00°
Fractional positions:
C  0.000  0.000  0.000
Nb  0.000  0.500  0.000
Nb  0.500  0.000  0.000
Mn  0.000  0.000  0.500
Zn  0.500  0.500  0.500

Computed properties:
ΔH_f (0 K): -0.094 eV/atom
Mass density: 7424 kg/m³
M_tot: 0.26 μB per atom
D(E_F): 0.9417 states/eV per atom

---

Among the records above, which one has the highest M_tot?
YMn2NbC